## VAsWBr2 (GGA-PBE)

Data for crystalline VAsWBr2 at its relaxed geometry.

Unit cell a=4.8538 b=4.8538 c=5.2045 alpha=90.00 beta=90.00 gamma=90.00
Fractional positions:
V 0.0000 0.0000 0.0000
As 0.0000 0.0000 0.5000
W 0.5000 0.5000 0.5000
Br 0.0000 0.5000 0.0000
Br 0.5000 0.0000 0.0000

Output
Crystal system = tetragonal
Fermi-level density of states = 4.9 states/eV/f.u.
ΔE to the lowest computed polymorph = 0 meV/atom
E_form (uncorrected) = 1.07 eV per atom
E = -24.71 eV per cell

## Cd2InGa4 (GGA-PBE)

Data for crystalline Cd2InGa4 at its relaxed geometry.

Unit cell a=8.9959 b=8.9959 c=5.4046 alpha=90.02 beta=90.02 gamma=45.18
Fractional positions:
Cd 0.0515 0.2852 0.2484
Cd 0.2852 0.0515 0.7484
Cd 0.7148 0.9485 0.2516
Cd 0.9485 0.7148 0.7516
In 0.3444 0.6556 0.7500
In 0.6556 0.3444 0.2500
Ga 0.1499 0.6891 0.2501
Ga 0.3109 0.8501 0.2499
Ga 0.3213 0.3227 0.5003
Ga 0.3227 0.3213 0.0003
Ga 0.6773 0.6787 0.9997
Ga 0.6787 0.6773 0.4997
Ga 0.6891 0.1499 0.7501
Ga 0.8501 0.3109 0.7499

Output
Crystal system = monoclinic
Energy relative to the elements = 0.04 eV per atom
Fermi-level density of states = 3.1 states/eV/f.u.
E = -32.76 eV per cell

## Rh4I (GGA-PBE)

Data for crystalline Rh4I at its relaxed geometry.

Unit cell a=4.7885 b=4.7885 c=4.7885 alpha=90.00 beta=90.00 gamma=90.00
Fractional positions:
Rh 0.0000 0.0000 0.0000
Rh 0.0000 0.5000 0.5000
Rh 0.5000 0.0000 0.5000
Rh 0.5000 0.5000 0.0000
I 0.5000 0.5000 0.5000

Output
Crystal system = cubic
Fermi-level density of states = 7.9 states/eV/f.u.
E_form (uncorrected) = 1.51 eV per atom
E = -23.42 eV per cell

## SmYCoRu (GGA-PBE)

Data for crystalline SmYCoRu at its relaxed geometry.

Unit cell a=4.0457 b=5.5818 c=5.5818 alpha=44.62 beta=90.00 gamma=90.00
Fractional positions:
Sm 0.0000 0.0000 0.0000
Y 0.5000 0.7092 0.7092
Co 0.5000 0.4100 0.4100
Ru 0.0000 0.2975 0.2975

Output
Crystal system = orthorhombic
Energy relative to the elements = -0.19 eV per atom
Fermi-level density of states = 3.7 states/eV/f.u.
ΔE to the lowest computed polymorph = 0 meV/atom
E = -28.33 eV per cell

## K3Ir2O9 (GGA-PBE)

Data for crystalline K3Ir2O9 at its relaxed geometry.

Unit cell a=7.5724 b=7.5724 c=7.5724 alpha=87.13 beta=87.13 gamma=87.13
Fractional positions:
K 0.0803 0.7500 0.4197
K 0.2500 0.5803 0.9197
K 0.4197 0.0803 0.7500
K 0.5803 0.9197 0.2500
K 0.7500 0.4197 0.0803
K 0.9197 0.2500 0.5803
Ir 0.1449 0.1449 0.1449
Ir 0.3551 0.3551 0.3551
Ir 0.6449 0.6449 0.6449
Ir 0.8551 0.8551 0.8551
O 0.0709 0.9199 0.7660
O 0.0801 0.2340 0.9291
O 0.1141 0.3859 0.2500
O 0.2340 0.9291 0.0801
O 0.2500 0.1141 0.3859
O 0.2660 0.4199 0.5709
O 0.3859 0.2500 0.1141
O 0.4199 0.5709 0.2660
O 0.4291 0.7340 0.5801
O 0.5709 0.2660 0.4199
O 0.5801 0.4291 0.7340
O 0.6141 0.7500 0.8859
O 0.7340 0.5801 0.4291
O 0.7500 0.8859 0.6141
O 0.7660 0.0709 0.9199
O 0.8859 0.6141 0.7500
O 0.9199 0.7660 0.0709
O 0.9291 0.0801 0.2340

Output
Crystal system = trigonal
Fermi-level density of states = 9.4 states/eV/f.u.
E_form (uncorrected) = -0.94 eV per atom
E = -157.66 eV per cell

## PmSm3ErTm (GGA-PBE)

Data for crystalline PmSm3ErTm at its relaxed geometry.

Unit cell a=8.0183 b=8.0183 c=10.1758 alpha=90.00 beta=90.00 gamma=143.24
Fractional positions:
Pm 0.0013 0.9987 0.7500
Pm 0.9987 0.0013 0.2500
Sm 0.1658 0.8342 0.9999
Sm 0.1658 0.8342 0.5001
Sm 0.3327 0.6673 0.7500
Sm 0.6673 0.3327 0.2500
Sm 0.8342 0.1658 0.0001
Sm 0.8342 0.1658 0.4999
Er 0.5000 0.5000 0.0000
Er 0.5000 0.5000 0.5000
Tm 0.3332 0.6668 0.2500
Tm 0.6668 0.3332 0.7500

Output
Crystal system = orthorhombic
Energy relative to the elements = 0.02 eV per atom
Fermi-level density of states = 8.5 states/eV/f.u.
E = -55.67 eV per cell

## Mg3BOs (GGA-PBE)

Data for crystalline Mg3BOs at its relaxed geometry.

Unit cell a=4.4149 b=4.4149 c=4.4149 alpha=90.00 beta=90.00 gamma=90.00
Fractional positions:
Mg 0.0000 0.0000 0.5000
Mg 0.0000 0.5000 0.0000
Mg 0.5000 0.0000 0.0000
B 0.0000 0.0000 0.0000
Os 0.5000 0.5000 0.5000

Output
Crystal system = cubic
Energy relative to the elements = 0.86 eV per atom
Fermi-level density of states = 2.6 states/eV/f.u.
ΔE to the lowest computed polymorph = 0 meV/atom
E = -18.41 eV per cell

## BaTmReN4 (GGA-PBE)

Data for crystalline BaTmReN4 at its relaxed geometry.

Unit cell a=5.8821 b=5.9814 c=7.4280 alpha=90.00 beta=106.70 gamma=90.00
Fractional positions:
Ba 0.2220 0.2500 0.4308
Ba 0.7780 0.7500 0.5692
Tm 0.3035 0.2500 0.9609
Tm 0.6965 0.7500 0.0391
Re 0.2406 0.7500 0.1621
Re 0.7594 0.2500 0.8379
N 0.0395 0.7500 0.9298
N 0.0482 0.7500 0.3178
N 0.4477 0.5101 0.1934
N 0.4477 0.9899 0.1934
N 0.5523 0.0101 0.8066
N 0.5523 0.4899 0.8066
N 0.9518 0.2500 0.6822
N 0.9605 0.2500 0.0702

Output
Crystal system = monoclinic
Fermi-level density of states = 0.0 states/eV/f.u.
E_form (uncorrected) = -0.88 eV per atom
E = -116.62 eV per cell